Material: Ba5Tl3
Method: DFT, PBEsol
State: relaxed

POSCAR file:
```
Ba5Tl3
1.0
6.6088 0.0000 0.0000
3.3044 9.8630 0.0000
3.3044 0.0000 9.8630
Ba Tl
10 6
Direct
0.4129 0.8697 0.3045 Ba
0.2500 0.5000 0.5000 Ba
0.0871 0.6955 0.1303 Ba
0.7500 0.5000 0.5000 Ba
0.5871 0.1303 0.6955 Ba
0.7826 0.1303 0.3045 Ba
0.2174 0.8697 0.6955 Ba
0.2826 0.3045 0.1303 Ba
0.9129 0.3045 0.8697 Ba
0.7174 0.6955 0.8697 Ba
0.2500 0.0000 0.0000 Tl
0.8407 0.8186 0.5000 Tl
0.6593 0.5000 0.1814 Tl
0.7500 0.0000 0.0000 Tl
0.3407 0.5000 0.8186 Tl
0.1593 0.1814 0.5000 Tl
```

Results
M_tot ... 0.0 μB/f.u.
DFT total energy ... -2.63 eV per atom